Entry 1:
Here is a relaxed structure of Sr2ZrRu from Alexandria via LeMat-Bulk. Energies are from PBE.

SG = I-4m2 (119)
Total magnetization = 0.000 μB/atom
Distance to the lowest polymorph of the same formula = 546 meV/atom
Calculated total energy = -4.700 eV per atom
Crystal system = tetragonal
Calculated volume = 205 Å³/cell

abc: 5.259 5.259 7.414
angles: 90.00 90.00 90.00
Element x y z (fractional)
1 Sr 0.000 0.000 0.000
2 Sr 0.000 0.500 0.250
3 Sr 0.500 0.000 0.750
4 Sr 0.500 0.500 0.500
5 Zr 0.000 0.000 0.500
6 Zr 0.500 0.500 0.000
7 Ru 0.000 0.500 0.750
8 Ru 0.500 0.000 0.250



Entry 2:
Here is a relaxed structure of LaHgH2 from Alexandria via LeMat-Bulk. Energies are from PBE.

SG = I-42d (122)
Total magnetization = 0.000 μB/atom
Distance to the lowest polymorph of the same formula = 72 meV/atom
Calculated total energy = -3.182 eV per atom
Crystal system = tetragonal
Calculated volume = 313 Å³/cell

abc: 4.866 4.866 13.211
angles: 90.00 90.00 90.00
Element x y z (fractional)
1 La 0.000 0.000 0.000
2 La 0.000 0.500 0.250
3 La 0.500 0.000 0.750
4 La 0.500 0.500 0.500
5 Hg 0.000 0.000 0.500
6 Hg 0.000 0.500 0.750
7 Hg 0.500 0.000 0.250
8 Hg 0.500 0.500 0.000
9 H 0.162 0.250 0.125
10 H 0.250 0.662 0.375
11 H 0.250 0.838 0.875
12 H 0.338 0.250 0.625
13 H 0.662 0.750 0.625
14 H 0.750 0.162 0.875
15 H 0.750 0.338 0.375
16 H 0.838 0.750 0.125